# TmFe5P3 (GGA-PBE, optimized geometry)
data_TmFe5P3
_chemical_formula_sum 'Tm4 Fe20 P12'
_cell_length_a 11.769
_cell_length_b 3.637
_cell_length_c 10.249
_cell_angle_alpha 90.00
_cell_angle_beta 90.00
_cell_angle_gamma 90.00
_symmetry_space_group_name_H-M 'P n m a'
_symmetry_Int_Tables_number 62
loop_
_symmetry_equiv_pos_as_xyz
'x,y,z'
'-x,-y,-z'
'-x+1/2,-y,z+1/2'
'x+1/2,y,-z+1/2'
'x+1/2,-y+1/2,-z+1/2'
'-x+1/2,y+1/2,z+1/2'
'-x,y+1/2,-z'
'x,-y+1/2,z'
loop_
_atom_site_label
_atom_site_type_symbol
_atom_site_fract_x
_atom_site_fract_y
_atom_site_fract_z
Tm1 Tm 0.204 0.250 0.080
Fe1 Fe 0.010 0.750 0.095
Fe2 Fe 0.011 0.750 0.708
Fe3 Fe 0.068 0.750 0.463
Fe4 Fe 0.176 0.250 0.780
Fe5 Fe 0.202 0.250 0.376
P1 P 0.104 0.750 0.900
P2 P 0.113 0.250 0.577
P3 P 0.129 0.750 0.265
# N(E_F), states/eV/atom: 0.86
# Total magnetic moment, μB per formula unit: 1.48
# E_form, kcal/mol of atoms: -17.3

# SrN2Cl (GGA-PBE, optimized geometry)
data_SrN2Cl
_chemical_formula_sum 'Sr4 N8 Cl4'
_cell_length_a 4.985
_cell_length_b 4.985
_cell_length_c 11.749
_cell_angle_alpha 90.00
_cell_angle_beta 90.00
_cell_angle_gamma 90.00
_symmetry_space_group_name_H-M 'I -4 2 d'
_symmetry_Int_Tables_number 122
_symmetry_space_group_name_Hall 'I -4 2bw'
loop_
_atom_site_label
_atom_site_type_symbol
_atom_site_fract_x
_atom_site_fract_y
_atom_site_fract_z
Sr1 Sr 0.000 0.000 0.000
N1 N 0.160 0.250 0.625
Cl1 Cl 0.000 0.000 0.500
# N(E_F), states/eV/atom: 0.77
# Total magnetic moment, μB per formula unit: 0.00
# Formation energy (no corrections), eV/atom: 1.171

# Pm4TlTeN (GGA-PBE, optimized geometry)
data_Pm4TlTeN
_chemical_formula_sum 'Pm16 Tl4 Te4 N4'
_cell_length_a 6.866
_cell_length_b 16.288
_cell_length_c 6.886
_cell_angle_alpha 90.00
_cell_angle_beta 90.00
_cell_angle_gamma 90.00
_symmetry_space_group_name_H-M 'C m c m'
_symmetry_Int_Tables_number 63
_symmetry_space_group_name_Hall '-C 2c 2'
loop_
_atom_site_label
_atom_site_type_symbol
_atom_site_fract_x
_atom_site_fract_y
_atom_site_fract_z
Pm1 Pm 0.000 0.089 0.250
Pm2 Pm 0.000 0.410 0.250
Pm3 Pm 0.250 0.250 0.000
Tl1 Tl 0.000 0.108 0.750
Te1 Te 0.000 0.391 0.750
N1 N 0.000 0.245 0.250
# N(E_F), states/eV/atom: 0.84
# Total magnetic moment, μB per formula unit: 0.00
# Formation energy (no corrections), eV/atom: -0.882

# KPPdRu (GGA-PBE, optimized geometry)
data_KPPdRu
_chemical_formula_sum 'K2 P2 Pd2 Ru2'
_cell_length_a 3.919
_cell_length_b 3.919
_cell_length_c 12.027
_cell_angle_alpha 90.00
_cell_angle_beta 90.00
_cell_angle_gamma 90.00
_symmetry_space_group_name_H-M 'P 4/n m m'
_symmetry_Int_Tables_number 129
loop_
_symmetry_equiv_pos_as_xyz
'x,y,z'
'-x,-y,-z'
'-y+1/2,x,z'
'y+1/2,-x,-z'
'-x+1/2,-y+1/2,z'
'x+1/2,y+1/2,-z'
'y,-x+1/2,z'
'-y,x+1/2,-z'
'x+1/2,-y,-z'
'-x+1/2,y,z'
'-y,-x,-z'
'y,x,z'
'-x,y+1/2,-z'
'x,-y+1/2,z'
'y+1/2,x+1/2,-z'
'-y+1/2,-x+1/2,z'
loop_
_atom_site_label
_atom_site_type_symbol
_atom_site_fract_x
_atom_site_fract_y
_atom_site_fract_z
K1 K 0.250 0.250 0.228
P1 P 0.250 0.250 0.602
Pd1 Pd 0.250 0.750 0.000
Ru1 Ru 0.250 0.750 0.500
# N(E_F), states/eV/atom: 0.83
# Total magnetic moment, μB per formula unit: 0.00
# E_form, kcal/mol of atoms: -6.7

# LiRuPb2 (GGA-PBE, optimized geometry)
data_LiRuPb2
_chemical_formula_sum 'Li2 Ru2 Pb4'
_cell_length_a 6.784
_cell_length_b 6.838
_cell_length_c 3.442
_cell_angle_alpha 90.00
_cell_angle_beta 90.21
_cell_angle_gamma 90.00
_symmetry_space_group_name_H-M 'C 1 2/m 1'
_symmetry_Int_Tables_number 12
loop_
_symmetry_equiv_pos_as_xyz
'x,y,z'
'-x,-y,-z'
'-x,y,-z'
'x,-y,z'
'x+1/2,y+1/2,z'
'-x+1/2,-y+1/2,-z'
'-x+1/2,y+1/2,-z'
'x+1/2,-y+1/2,z'
loop_
_atom_site_label
_atom_site_type_symbol
_atom_site_fract_x
_atom_site_fract_y
_atom_site_fract_z
Li1 Li 0.000 0.000 0.000
Ru1 Ru 0.000 0.500 0.000
Pb1 Pb 0.250 0.250 0.500
# N(E_F), states/eV/atom: 1.03
# Total magnetic moment, μB per formula unit: 0.24
# E_form, kcal/mol of atoms: 5.5

# TlTeCl (GGA-PBE, optimized geometry)
data_TlTeCl
_chemical_formula_sum 'Tl4 Te4 Cl4'
_cell_length_a 4.310
_cell_length_b 4.310
_cell_length_c 21.846
_cell_angle_alpha 90.00
_cell_angle_beta 90.00
_cell_angle_gamma 90.00
_symmetry_space_group_name_H-M 'I -4 m 2'
_symmetry_Int_Tables_number 119
_symmetry_space_group_name_Hall 'I -4 -2'
loop_
_atom_site_label
_atom_site_type_symbol
_atom_site_fract_x
_atom_site_fract_y
_atom_site_fract_z
Tl1 Tl 0.000 0.000 0.167
Te1 Te 0.000 0.500 0.511
Cl1 Cl 0.000 0.000 0.306
# N(E_F), states/eV/atom: 0.38
# Total magnetic moment, μB per formula unit: 0.00
# Formation energy (no corrections), eV/atom: -0.600

# LiAlPt3 (GGA-PBE, optimized geometry)
data_LiAlPt3
_chemical_formula_sum 'Li1 Al1 Pt3'
_cell_length_a 4.212
_cell_length_b 4.212
_cell_length_c 4.212
_cell_angle_alpha 90.00
_cell_angle_beta 90.00
_cell_angle_gamma 90.00
_symmetry_space_group_name_H-M 'P m -3 m'
_symmetry_Int_Tables_number 221
_symmetry_space_group_name_Hall '-P 4 2 3'
loop_
_atom_site_label
_atom_site_type_symbol
_atom_site_fract_x
_atom_site_fract_y
_atom_site_fract_z
Li1 Li 0.000 0.000 0.000
Al1 Al 0.500 0.500 0.500
Pt1 Pt 0.000 0.000 0.500
# N(E_F), states/eV/atom: 0.07
# Total magnetic moment, μB per formula unit: 0.00
# E_form, kcal/mol of atoms: 1.1

# Zn2FeCl (GGA-PBE, optimized geometry)
data_Zn2FeCl
_chemical_formula_sum 'Zn4 Fe2 Cl2'
_cell_length_a 8.833
_cell_length_b 3.004
_cell_length_c 6.080
_cell_angle_alpha 90.00
_cell_angle_beta 95.21
_cell_angle_gamma 90.00
_symmetry_space_group_name_H-M 'C 1 m 1'
_symmetry_Int_Tables_number 8
loop_
_symmetry_equiv_pos_as_xyz
'x,y,z'
'x,-y,z'
'x+1/2,y+1/2,z'
'x+1/2,-y+1/2,z'
loop_
_atom_site_label
_atom_site_type_symbol
_atom_site_fract_x
_atom_site_fract_y
_atom_site_fract_z
Zn1 Zn 0.000 0.000 0.000
Zn2 Zn 0.232 0.500 0.180
Fe1 Fe 0.461 0.000 0.313
Cl1 Cl 0.023 0.000 0.608
# N(E_F), states/eV/atom: 0.48
# Total magnetic moment, μB per formula unit: 2.45
# Formation energy (no corrections), eV/atom: -0.013

# Na7Pb (GGA-PBE, optimized geometry)
data_Na7Pb
_chemical_formula_sum 'Na21 Pb3'
_cell_length_a 5.6756
_cell_length_b 5.6756
_cell_length_c 28.0099
_cell_angle_alpha 90.00
_cell_angle_beta 90.00
_cell_angle_gamma 120.00
_symmetry_space_group_name_H-M 'R -3 m'
_symmetry_Int_Tables_number 166
_symmetry_space_group_name_Hall '-R 3 2"'
loop_
_atom_site_label
_atom_site_type_symbol
_atom_site_fract_x
_atom_site_fract_y
_atom_site_fract_z
Na1 Na 0.0000 0.0000 0.0000
Na2 Na 0.0000 0.0000 0.1307
Na3 Na 0.0000 0.0000 0.2459
Na4 Na 0.0000 0.0000 0.3800
Pb1 Pb 0.0000 0.0000 0.5000
# N(E_F), states/eV/atom: 0.51
# Total magnetic moment, μB per formula unit: 0.00
# E_form, kcal/mol of atoms: -1.3

# Th5Sb4Pb (GGA-PBE, optimized geometry)
data_Th5Sb4Pb
_chemical_formula_sum 'Th10 Sb8 Pb2'
_cell_length_a 10.115
_cell_length_b 10.115
_cell_length_c 6.393
_cell_angle_alpha 90.00
_cell_angle_beta 90.00
_cell_angle_gamma 90.00
_symmetry_space_group_name_H-M 'I 4/m'
_symmetry_Int_Tables_number 87
_symmetry_space_group_name_Hall '-I 4'
loop_
_atom_site_label
_atom_site_type_symbol
_atom_site_fract_x
_atom_site_fract_y
_atom_site_fract_z
Th1 Th 0.000 0.000 0.000
Th2 Th 0.101 0.302 0.500
Sb1 Sb 0.101 0.300 0.000
Pb1 Pb 0.000 0.000 0.500
# N(E_F), states/eV/atom: 0.78
# Total magnetic moment, μB per formula unit: 0.00
# Formation energy (no corrections), eV/atom: -0.776

# LiZn2Te (GGA-PBE, optimized geometry)
data_LiZn2Te
_chemical_formula_sum 'Li4 Zn8 Te4'
_cell_length_a 8.777
_cell_length_b 8.777
_cell_length_c 5.052
_cell_angle_alpha 90.00
_cell_angle_beta 90.00
_cell_angle_gamma 90.00
_symmetry_space_group_name_H-M 'I -4 2 d'
_symmetry_Int_Tables_number 122
_symmetry_space_group_name_Hall 'I -4 2bw'
loop_
_atom_site_label
_atom_site_type_symbol
_atom_site_fract_x
_atom_site_fract_y
_atom_site_fract_z
Li1 Li 0.000 0.000 0.000
Zn1 Zn 0.202 0.250 0.625
Te1 Te 0.000 0.000 0.500
# N(E_F), states/eV/atom: 0.58
# Total magnetic moment, μB per formula unit: 0.00
# Formation energy (no corrections), eV/atom: -0.132

# LiAu2Se (GGA-PBE, optimized geometry)
data_LiAu2Se
_chemical_formula_sum 'Li1 Au2 Se1'
_cell_length_a 2.849
_cell_length_b 4.523
_cell_length_c 5.648
_cell_angle_alpha 90.00
_cell_angle_beta 90.00
_cell_angle_gamma 90.00
_symmetry_space_group_name_H-M 'P m m m'
_symmetry_Int_Tables_number 47
loop_
_symmetry_equiv_pos_as_xyz
'x,y,z'
'-x,-y,-z'
'-x,-y,z'
'x,y,-z'
'x,-y,-z'
'-x,y,z'
'-x,y,-z'
'x,-y,z'
loop_
_atom_site_label
_atom_site_type_symbol
_atom_site_fract_x
_atom_site_fract_y
_atom_site_fract_z
Li1 Li 0.000 0.000 0.000
Au1 Au 0.500 0.500 0.239
Se1 Se 0.000 0.000 0.500
# N(E_F), states/eV/atom: 0.23
# Total magnetic moment, μB per formula unit: 0.00
# Formation energy (no corrections), eV/atom: -0.193

> N(E_F) of number 7 (LiAlPt3)?

0.07 states/eV/atom

> Which value of N(E_F) does entry 8 give?

0.48 states/eV/atom

> Which value of total magnetic moment does entry 3 give?

0.00 μB per formula unit